SrCa3V4O12 | PBE with a Hubbard U | relaxed

CIF file:
```
data_SrCa3V4O12
_cell_length_a 5.4104
_cell_length_b 7.8316
_cell_length_c 5.4185
_cell_angle_alpha 90.00
_cell_angle_beta 90.16
_cell_angle_gamma 90.00
_symmetry_space_group_name_H-M 'P 1 m 1'
_symmetry_Int_Tables_number 6
loop_
_symmetry_equiv_pos_as_xyz
'x,y,z'
'x,-y,z'
loop_
_atom_site_label
_atom_site_type_symbol
_atom_site_fract_x
_atom_site_fract_y
_atom_site_fract_z
Sr1 Sr 0.0000 0.0000 0.0000
Ca1 Ca 0.4480 0.5000 0.4988
Ca2 Ca 0.5116 0.0000 0.4932
Ca3 Ca 0.9429 0.5000 0.9936
V1 V 0.4780 0.2528 0.9969
V2 V 0.9794 0.2525 0.4954
O1 O 0.0003 0.5000 0.4276
O2 O 0.2000 0.2846 0.7934
O3 O 0.2608 0.2137 0.2966
O4 O 0.4820 0.0000 0.9248
O5 O 0.4838 0.5000 0.0705
O6 O 0.7033 0.2905 0.7066
O7 O 0.7539 0.2284 0.2082
O8 O 0.9550 0.0000 0.5439
```

Properties
crystal system = monoclinic
excess energy over the best structure of this formula in the dataset = 0.000 eV per formula unit
total energy = -7.34 eV/atom
total magnetic moment = 4.00 Bohr magnetons per cell